No. 1
Here is crystalline TaSbPbO5 at its relaxed geometry from the Alexandria database. Energies are from PBE.

Results
Crystal system: monoclinic
ρ (Mg/m³): 7.44
Calculated volume (Å³/atom): 16.45

a = 7.7908 Å, b = 9.8055 Å, c = 7.7490 Å
α = 90.00°, β = 117.21°, γ = 90.00°
Closest atoms and distances in Å follow each position.
Space group C2/c (No. 15)
Inequivalent atoms, fractional coordinates:
Ta: 0.2500 0.2500 0.0000  6 O 2.01-2.02
Sb: 0.0000 0.0467 0.2500  2 O 2.02
Pb: 0.0000 0.4290 0.2500  4 O 2.45-2.66
O: 0.0000 0.2535 0.7500  2 Ta 2.02
O: 0.0979 0.1973 0.1405  1 Ta 2.01, 1 Sb 2.02
O: 0.2111 0.4479 0.0466  1 Ta 2.02

=====

No. 2
Here is crystalline SbTe2PbO8 at its relaxed geometry from the Alexandria database. Energies are from PBE.

Results
Crystal system: trigonal
ρ (Mg/m³): 5.88
Calculated volume (Å³/atom): 16.77

a = 5.3687 Å, b = 5.3687 Å, c = 24.1829 Å
α = 90.00°, β = 90.00°, γ = 120.00°
Closest atoms and distances in Å follow each position.
Space group R32 (No. 155, hexagonal axes)
Inequivalent atoms, fractional coordinates:
Sb: 0.0000 0.0000 0.0000  6 O 2.29
Te: 0.0000 0.0000 0.2487  4 O 1.86-1.90
Pb: 0.0000 0.0000 0.5000  12 O 3.10-3.13
O: 0.0000 0.0000 0.1717  1 Te 1.86
O: 0.0009 0.3268 0.0611  1 Te 1.90

=====

No. 3
Here is crystalline Sb2TePbO at its relaxed geometry from the Alexandria database. Energies are from PBE.

Results
Crystal system: tetragonal
ρ (Mg/m³): 4.85
Calculated volume (Å³/atom): 40.69

a = 5.8642 Å, b = 5.8642 Å, c = 5.9154 Å
α = 90.00°, β = 90.00°, γ = 90.00°
Closest atoms and distances in Å follow each position.
Space group P4/mmm (No. 123)
Inequivalent atoms, fractional coordinates:
Sb: 0.0000 0.5000 0.0000  2 Pb 2.93
Te: 0.0000 0.0000 0.5000  2 Pb 2.96
Pb: 0.0000 0.0000 0.0000  4 Sb 2.93, 2 Te 2.96
O: 0.5000 0.5000 0.5000  4 Te 4.15, 8 Sb 4.16

=====

No. 4
Here is crystalline Sb2TePbO at its relaxed geometry from the Alexandria database. Energies are from PBE.

Results
Crystal system: tetragonal
ρ (Mg/m³): 8.09
Calculated volume (Å³/atom): 24.41

a = 4.8123 Å, b = 4.8123 Å, c = 5.2697 Å
α = 90.00°, β = 90.00°, γ = 90.00°
Closest atoms and distances in Å follow each position.
Space group P4/mmm (No. 123)
Inequivalent atoms, fractional coordinates:
Sb: 0.0000 0.5000 0.0000  2 O 2.41
Te: 0.0000 0.0000 0.5000  2 O 2.63
Pb: 0.5000 0.5000 0.5000  4 Te 3.40, 8 Sb 3.57
O: 0.0000 0.0000 0.0000  4 Sb 2.41, 2 Te 2.63

=====

No. 5
Here is crystalline TiSbPb2O6 at its relaxed geometry from the Alexandria database. Energies are from PBE.

Results
Crystal system: orthorhombic
ρ (Mg/m³): 7.96
Calculated volume (Å³/atom): 14.19

a = 5.8961 Å, b = 8.0949 Å, c = 5.9463 Å
α = 90.00°, β = 90.00°, γ = 90.00°
Closest atoms and distances in Å follow each position.
Space group Pmmn (No. 59, origin choice 2)
Inequivalent atoms, fractional coordinates:
Ti: 0.2500 0.2500 0.2193  4 O 1.85-1.98
Sb: 0.2500 0.7500 0.2354  6 O 2.10-2.16
Pb: 0.2500 0.0186 0.6940  3 O 2.43-2.54
O: 0.0118 0.2500 0.0176  1 Ti 1.85
O: 0.0130 0.2500 0.5263  1 Sb 2.10, 1 Ti 2.30
O: 0.2500 0.0104 0.2850  1 Ti 1.98, 1 Sb 2.13

=====

No. 6
Here is crystalline TlSbPb2O8 at its relaxed geometry from the Alexandria database. Energies are from PBE.

Results
Crystal system: monoclinic
ρ (Mg/m³): 8.50
Calculated volume (Å³/atom): 14.14

a = 4.9740 Å, b = 6.8332 Å, c = 4.9934 Å
α = 90.00°, β = 90.09°, γ = 90.00°
Closest atoms and distances in Å follow each position.
Space group P2/m (No. 10)
Inequivalent atoms, fractional coordinates:
Tl: 0.0000 0.0000 0.0000  6 O 2.19-2.31
Sb: 0.0000 0.5000 0.0000  6 O 2.01-2.06
Pb: 0.5000 0.2536 0.5000  6 O 2.19-2.23
O: 0.1919 0.2775 0.8173  1 Sb 2.01, 1 Pb 2.21
O: 0.2872 0.5000 0.2977  1 Sb 2.06, 2 Pb 2.23
O: 0.3063 0.0000 0.3158  2 Pb 2.19, 1 Tl 2.19

=====

No. 7
Here is crystalline TlSbPb2O6 at its relaxed geometry from the Alexandria database. Energies are from PBE.

Results
Crystal system: monoclinic
ρ (Mg/m³): 9.28
Calculated volume (Å³/atom): 14.96

a = 5.8158 Å, b = 6.0852 Å, c = 10.2473 Å
α = 90.00°, β = 124.39°, γ = 90.00°
Closest atoms and distances in Å follow each position.
Space group P2_1/c (No. 14)
Inequivalent atoms, fractional coordinates:
Tl: 0.0000 0.0000 0.0000  6 O 2.29-2.33
Sb: 0.5000 0.0000 0.5000  6 O 2.02-2.04
Pb: 0.2328 0.0413 0.7373  6 O 2.51-2.73
O: 0.1816 0.1806 0.4752  1 Sb 2.04
O: 0.2551 0.7331 0.4459  1 Sb 2.02
O: 0.3493 0.0423 0.2678  1 Sb 2.03

=====

No. 8
Here is crystalline TlSbPb2O5 at its relaxed geometry from the Alexandria database. Energies are from PBE.

Results
Crystal system: orthorhombic
ρ (Mg/m³): 7.69
Calculated volume (Å³/atom): 19.68

a = 3.6124 Å, b = 14.2519 Å, c = 13.7614 Å
α = 90.00°, β = 90.00°, γ = 90.00°
Closest atoms and distances in Å follow each position.
Space group Cmc2_1 (No. 36)
Inequivalent atoms, fractional coordinates:
Tl: 0.0000 0.2474 0.0000  1 O 2.44
Sb: 0.0000 0.4545 0.8420  5 O 1.91-2.02
Pb: 0.0000 0.0224 0.5892  5 O 2.34-2.55
Pb: 0.0000 0.3007 0.2480  5 O 2.41-2.66
O: 0.0000 0.0121 0.8702  2 Sb 2.02
O: 0.0000 0.1813 0.6332  3 Pb 2.34-2.41
O: 0.0000 0.3292 0.7933  1 Sb 1.91
O: 0.0000 0.4179 0.9822  1 Sb 2.00
O: 0.0000 0.4730 0.2200  1 Sb 1.97

=====

No. 9
Here is crystalline Tl2SbPbO4 at its relaxed geometry from the Alexandria database. Energies are from PBE.

Results
Crystal system: triclinic
ρ (Mg/m³): 7.22
Calculated volume (Å³/atom): 23.06

a = 6.0466 Å, b = 6.0476 Å, c = 6.6004 Å
α = 62.86°, β = 62.86°, γ = 89.95°
Closest atoms and distances in Å follow each position.
Space group P1 (No. 1)
Inequivalent atoms, fractional coordinates:
Tl: 0.0000 0.0000 0.0000  4 O 2.79-2.80
Tl: 0.2494 0.7505 0.4996  4 O 2.87-2.88
Sb: 0.7494 0.2497 0.5001  4 O 1.97-1.98
Pb: 0.4995 0.5006 0.0000  4 O 2.44-2.45
O: 0.0724 0.5240 0.2815  1 Sb 1.97
O: 0.4749 0.3549 0.7192  1 Sb 1.98
O: 0.6436 0.1932 0.2815  1 Sb 1.98
O: 0.8065 0.9263 0.7183  1 Sb 1.97

=====

No. 10
Here is crystalline TlSbPbO3 at its relaxed geometry from the Alexandria database. Energies are from PBE.

Results
Crystal system: monoclinic
ρ (Mg/m³): 7.88
Calculated volume (Å³/atom): 20.43

a = 13.9358 Å, b = 3.8901 Å, c = 9.2339 Å
α = 90.00°, β = 101.62°, γ = 90.00°
Closest atoms and distances in Å follow each position.
Space group C2/m (No. 12)
Inequivalent atoms, fractional coordinates:
Tl: 0.1858 0.0000 0.1436  3 O 2.61-2.65
Sb: 0.0286 0.5000 0.7789  4 O 2.03-2.18
Pb: 0.1429 0.0000 0.5175  4 O 2.41-2.50
O: 0.0141 0.0000 0.6696  2 Sb 2.18
O: 0.1192 0.5000 0.2924  1 Sb 2.03
O: 0.1454 0.5000 0.6731  1 Sb 2.06

=====

No. 11
Here is crystalline Tl2SbPbO6 at its relaxed geometry from the Alexandria database. Energies are from PBE.

Results
Crystal system: trigonal
ρ (Mg/m³): 8.53
Calculated volume (Å³/atom): 16.23

a = 5.8055 Å, b = 5.8055 Å, c = 16.6853 Å
α = 90.00°, β = 90.00°, γ = 120.00°
Closest atoms and distances in Å follow each position.
Space group R3 (No. 146, hexagonal axes)
Inequivalent atoms, fractional coordinates:
Tl: 0.0000 0.0000 0.0000  3 O 2.39
Tl: 0.0000 0.0000 0.4690  6 O 2.28-2.35
Sb: 0.0000 0.0000 0.7853  6 O 2.03-2.05
Pb: 0.0000 0.0000 0.2562  3 O 2.40
O: 0.0569 0.3537 0.3873  1 Sb 2.03
O: 0.0611 0.6803 0.5273  1 Sb 2.05, 1 Tl 2.28

=====

No. 12
Here is crystalline Tl2Sb2PbO7 at its relaxed geometry from the Alexandria database. Energies are from PBE.

Results
Crystal system: monoclinic
ρ (Mg/m³): 8.47
Calculated volume (Å³/atom): 15.88

a = 5.7205 Å, b = 5.7034 Å, c = 11.8956 Å
α = 90.00°, β = 100.93°, γ = 90.00°
Closest atoms and distances in Å follow each position.
Space group C2/m (No. 12)
Inequivalent atoms, fractional coordinates:
Tl: 0.1918 0.0000 0.3912  3 O 2.68-2.92
Sb: 0.0717 0.5000 0.1784  6 O 1.93-2.08
Pb: 0.0000 0.0000 0.0000  12 O 2.74-2.86
O: 0.0000 0.5000 0.0000  2 Sb 2.08
O: 0.1308 0.5000 0.3434  1 Sb 1.93
O: 0.1879 0.2510 0.8404  2 Sb 2.03-2.04

=====

No. 13
Here is crystalline TmSbPb2O6 at its relaxed geometry from the Alexandria database. Energies are from PBE.

Results
Crystal system: monoclinic
ρ (Mg/m³): 9.12
Calculated volume (Å³/atom): 14.58

a = 10.2378 Å, b = 5.8956 Å, c = 10.2093 Å
α = 90.00°, β = 108.84°, γ = 90.00°
Closest atoms and distances in Å follow each position.
Space group C2/c (No. 15)
Inequivalent atoms, fractional coordinates:
Tm: 0.0000 0.2479 0.2500  6 O 2.19-2.26
Sb: 0.2500 0.2500 0.0000  6 O 2.01-2.02
Pb: 0.1319 0.2833 0.6279  4 O 2.50-2.66
O: 0.0999 0.2888 0.0872  1 Sb 2.02, 1 Tm 2.23
O: 0.1477 0.4709 0.8520  1 Sb 2.01
O: 0.1528 0.0106 0.3788  1 Sb 2.02, 1 Tm 2.19

=====

No. 14
Here is crystalline TmSbPb2O6 at its relaxed geometry from the Alexandria database. Energies are from PBE.

Results
Crystal system: monoclinic
ρ (Mg/m³): 9.21
Calculated volume (Å³/atom): 14.44

a = 5.8890 Å, b = 5.8917 Å, c = 10.1897 Å
α = 90.00°, β = 125.21°, γ = 90.00°
Closest atoms and distances in Å follow each position.
Space group P2_1/c (No. 14)
Inequivalent atoms, fractional coordinates:
Tm: 0.0000 0.0000 0.0000  6 O 2.22
Sb: 0.5000 0.0000 0.5000  6 O 2.02
Pb: 0.2581 0.0214 0.7526  5 O 2.58-2.83
O: 0.1949 0.0108 0.2625  1 Sb 2.02, 1 Tm 2.22
O: 0.2686 0.7077 0.0365  1 Sb 2.02, 1 Tm 2.22
O: 0.3315 0.2278 0.0342  1 Sb 2.02, 1 Tm 2.22

=====

No. 15
Here is crystalline TmSbPb2O6 at its relaxed geometry from the Alexandria database. Energies are from PBE.

Results
Crystal system: trigonal
ρ (Mg/m³): 9.16
Calculated volume (Å³/atom): 14.52

a = 5.9444 Å, b = 5.9444 Å, c = 14.2357 Å
α = 90.00°, β = 90.00°, γ = 120.00°
Closest atoms and distances in Å follow each position.
Space group R-3 (No. 148, hexagonal axes)
Inequivalent atoms, fractional coordinates:
Tm: 0.0000 0.0000 0.0000  6 O 2.22
Sb: 0.0000 0.0000 0.5000  6 O 2.02
Pb: 0.0000 0.0000 0.2620  6 O 2.61-2.73
O: 0.0256 0.4512 0.2504  1 Sb 2.02, 1 Tm 2.22

=====

No. 16
Here is crystalline USbPb2O8 at its relaxed geometry from the Alexandria database. Energies are from PBE.

Results
Crystal system: orthorhombic
ρ (Mg/m³): 7.84
Calculated volume (Å³/atom): 15.93

a = 7.3240 Å, b = 7.5805 Å, c = 6.8842 Å
α = 90.00°, β = 90.00°, γ = 90.00°
Closest atoms and distances in Å follow each position.
Space group Cmmm (No. 65)
Inequivalent atoms, fractional coordinates:
U: 0.0000 0.0000 0.0000  6 O 1.97-2.21
Sb: 0.0000 0.0000 0.5000  6 O 1.97-2.09
Pb: 0.0000 0.5000 0.2614  6 O 2.36-2.51
O: 0.0000 0.1694 0.2607  1 Sb 2.09, 1 U 2.21
O: 0.2304 0.5000 0.0000  1 U 1.97
O: 0.2305 0.5000 0.5000  1 Sb 1.97

=====

No. 17
Here is crystalline USb2PbO8 at its relaxed geometry from the Alexandria database. Energies are from PBE.

Results
Crystal system: trigonal
ρ (Mg/m³): 6.74
Calculated volume (Å³/atom): 16.76

a = 5.2837 Å, b = 5.2837 Å, c = 24.9523 Å
α = 90.00°, β = 90.00°, γ = 120.00°
Closest atoms and distances in Å follow each position.
Space group R32 (No. 155, hexagonal axes)
Inequivalent atoms, fractional coordinates:
U: 0.0000 0.0000 0.0000  6 O 2.21
Sb: 0.0000 0.0000 0.2482  4 O 1.89-1.93
Pb: 0.0000 0.0000 0.5000  12 O 3.05-3.27
O: 0.0000 0.0000 0.1723  1 Sb 1.89
O: 0.0006 0.3202 0.0573  1 Sb 1.93

=====

| no. | raw total energy (eV per atom) |
| --- | --- |
| 1 | -7.43 |
| 2 | -5.22 |
| 3 | -2.74 |
| 4 | -4.07 |
| 5 | -6.60 |
| 6 | -5.42 |
| 7 | -5.46 |
| 8 | -5.39 |
| 9 | -4.96 |
| 10 | -5.22 |
| 11 | -5.22 |
| 12 | -5.41 |
| 13 | -6.48 |
| 14 | -6.48 |
| 15 | -6.48 |
| 16 | -6.95 |
| 17 | -6.73 |